Model one:
# Zr2Ni7 (GGA-PBE, relaxed)
# ρ (g cm⁻³): 8.4
# M_tot (Bohr magnetons per cell): 0.0
data_Zr2Ni7
_symmetry_space_group_name_H-M 'C 1 2/m 1'
_symmetry_Int_Tables_number 12
_cell_length_a 4.7064
_cell_length_b 8.2387
_cell_length_c 12.1650
_cell_angle_alpha 90.00
_cell_angle_beta 95.86
_cell_angle_gamma 90.00
loop_
_symmetry_equiv_pos_as_xyz
'x,y,z'
'-x,-y,-z'
'-x,y,-z'
'x,-y,z'
'x+1/2,y+1/2,z'
'-x+1/2,-y+1/2,-z'
'-x+1/2,y+1/2,-z'
'x+1/2,-y+1/2,z'
loop_
_atom_site_label
_atom_site_type_symbol
_atom_site_fract_x
_atom_site_fract_y
_atom_site_fract_z
Zr1 Zr 0.2198 0.0000 0.1141
Zr2 Zr 0.2228 0.5000 0.6139
Ni1 Ni 0.0022 0.2500 0.7500
Ni2 Ni 0.2031 0.3339 0.0782
Ni3 Ni 0.2060 0.1658 0.5782
Ni4 Ni 0.2479 0.5000 0.2500

=====

Model two:
# Zr2Ni7 (GGA-PBE, relaxed)
# ρ (g cm⁻³): 8.3
# M_tot (Bohr magnetons per cell): 0.0
data_Zr2Ni7
_symmetry_space_group_name_H-M 'R -3 m'
_symmetry_Int_Tables_number 166
_symmetry_space_group_name_Hall '-R 3 2"'
_cell_length_a 4.8146
_cell_length_b 4.8146
_cell_length_c 35.6408
_cell_angle_alpha 90.00
_cell_angle_beta 90.00
_cell_angle_gamma 120.00
loop_
_atom_site_label
_atom_site_type_symbol
_atom_site_fract_x
_atom_site_fract_y
_atom_site_fract_z
Zr1 Zr 0.0000 0.0000 0.0487
Zr2 Zr 0.0000 0.0000 0.1462
Ni1 Ni 0.0000 0.0000 0.2777
Ni2 Ni 0.0000 0.0000 0.3892
Ni3 Ni 0.0000 0.0000 0.5000
Ni4 Ni 0.0000 0.5000 0.0000
Ni5 Ni 0.0032 0.5016 0.8886

=====

Winner for stability: model one